1.
This record from Alexandria describes a relaxed Cr3HgC crystal. The functional is GGA-PBE.

DOS(E_F) = 4.89 states/eV/cell
E_tot = -36.96 eV for the cell shown
excess energy over the best structure of this formula in the dataset = 0 meV/atom

Cell lengths 4.0402, 4.0402, 4.0402 Å; angles 90.00, 90.00, 90.00 degrees
Fractional coordinates of all 5 atoms:
Cr 0.0000 0.0000 0.5000
Cr 0.0000 0.5000 0.0000
Cr 0.5000 0.0000 0.0000
Hg 0.5000 0.5000 0.5000
C 0.0000 0.0000 0.0000



2.
This record from Alexandria describes a relaxed Sn2GePd2 crystal. The functional is GGA-PBE.

DOS(E_F) = 3.10 states/eV/cell
E_tot = -22.90 eV for the cell shown
excess energy over the best structure of this formula in the dataset = 235 meV/atom

Cell lengths 6.7070, 6.7070, 6.7070 Å; angles 142.70, 142.70, 53.78 degrees
Fractional coordinates of all 5 atoms:
Sn 0.2500 0.7500 0.5000
Sn 0.7500 0.2500 0.5000
Ge 0.0000 0.0000 0.0000
Pd 0.3884 0.3884 0.0000
Pd 0.6116 0.6116 0.0000



3.
This record from Alexandria describes a relaxed GdLuPdPb crystal. The functional is GGA-PBE.

DOS(E_F) = 3.00 states/eV/cell
E_tot = -29.93 eV for the cell shown

Cell lengths 5.1854, 5.1854, 5.1854 Å; angles 60.00, 60.00, 60.00 degrees
Fractional coordinates of all 4 atoms:
Gd 0.0000 0.0000 0.0000
Lu 0.5000 0.5000 0.5000
Pd 0.2500 0.2500 0.2500
Pb 0.7500 0.7500 0.7500



4.
This record from Alexandria describes a relaxed KZr3Ni crystal. The functional is GGA-PBE.

DOS(E_F) = 7.49 states/eV/cell
E_tot = -21.65 eV for the cell shown
excess energy over the best structure of this formula in the dataset = 1577 meV/atom

Cell lengths 4.8152, 4.8152, 4.8152 Å; angles 90.00, 90.00, 90.00 degrees
Fractional coordinates of all 5 atoms:
K 0.0000 0.0000 0.0000
Zr 0.0000 0.0000 0.5000
Zr 0.0000 0.5000 0.0000
Zr 0.5000 0.0000 0.0000
Ni 0.5000 0.5000 0.5000



5.
This record from Alexandria describes a relaxed BeCu2W crystal. The functional is GGA-PBE.

DOS(E_F) = 3.09 states/eV/cell
E_tot = -24.42 eV for the cell shown
excess energy over the best structure of this formula in the dataset = 39 meV/atom

Cell lengths 2.6776, 2.6776, 6.6521 Å; angles 90.00, 90.00, 90.00 degrees
Fractional coordinates of all 4 atoms:
Be 0.0000 0.0000 0.0000
Cu 0.5000 0.5000 0.2026
Cu 0.5000 0.5000 0.7974
W 0.0000 0.0000 0.5000



6.
This record from Alexandria describes a relaxed LiCa3Rh crystal. The functional is GGA-PBE.

DOS(E_F) = 6.39 states/eV/cell
E_tot = -32.78 eV for the cell shown
excess energy over the best structure of this formula in the dataset = 0 meV/atom

Cell lengths 9.8715, 9.0967, 6.0451 Å; angles 78.54, 64.58, 36.88 degrees
Fractional coordinates of all 10 atoms:
Li 0.2007 0.7993 0.7993
Li 0.7993 0.2007 0.2007
Ca 0.1959 0.5730 0.4270
Ca 0.2037 0.2037 0.7963
Ca 0.4270 0.8041 0.1959
Ca 0.5730 0.1959 0.8041
Ca 0.7963 0.7963 0.2037
Ca 0.8041 0.4270 0.5730
Rh 0.2500 0.2500 0.2500
Rh 0.7500 0.7500 0.7500